(1)
Entry from Alexandria via LeMat-Bulk: an optimized crystal structure of Ca2ZnSe (GGA-PBEsol).

Unit cell a=3.7546 b=4.0191 c=7.6694 alpha=105.19 beta=104.17 gamma=90.00
Sites, in units of the cell vectors:
Zn 0.2052 0.7052 0.4104
Ca 0.0346 0.0346 0.0692
Ca 0.7995 0.2995 0.5990
Se 0.4607 0.4607 0.9214

Magnetization ... 0.000 μB/atom
Formation energy from raw total energies ... -833 meV per atom
Space-group type ... No. 44

(2)
Entry from Alexandria via LeMat-Bulk: an optimized crystal structure of FeCoRe (GGA-PBEsol).

Unit cell a=2.5807 b=2.5807 c=5.5985 alpha=103.33 beta=103.33 gamma=90.00
Sites, in units of the cell vectors:
Co 0.0054 0.0054 0.0108
Fe 0.6592 0.6592 0.3183
Re 0.3354 0.3354 0.6709

Magnetization ... 0.765 μB/atom
Space-group type ... No. 107
Calculated total energy ... -29.77 eV per formula unit

(3)
Entry from Alexandria via LeMat-Bulk: an optimized crystal structure of TlCuSe2 (GGA-PBEsol).

Unit cell a=3.6959 b=4.7274 c=5.8852 alpha=89.39 beta=90.00 gamma=90.00
Sites, in units of the cell vectors:
Tl 0.5000 0.0000 0.5000
Se 0.0000 0.5041 0.2481
Se 0.0000 0.4959 0.7519
Cu 0.5000 0.5000 0.0000

Magnetization ... 0.000 μB/atom
Formation energy from raw total energies ... -146 meV per atom
Space-group type ... No. 10

(4)
Entry from Alexandria via LeMat-Bulk: an optimized crystal structure of BeSeBr2 (GGA-PBEsol).

Unit cell a=4.8133 b=4.8133 c=4.8133 alpha=60.00 beta=60.00 gamma=60.00
Sites, in units of the cell vectors:
Be 0.0000 0.0000 0.0000
Br 0.7500 0.7500 0.7500
Br 0.2500 0.2500 0.2500
Se 0.5000 0.5000 0.5000

Magnetization ... 0.000 μB/atom
Formation energy from raw total energies ... 721 meV per atom
Space-group type ... No. 225

(5)
Entry from Alexandria via LeMat-Bulk: an optimized crystal structure of Lu4Ga12Pd (GGA-PBEsol).

Unit cell a=7.2754 b=7.2754 c=7.2754 alpha=109.47 beta=109.47 gamma=109.47
Sites, in units of the cell vectors:
Lu 0.0000 0.5000 0.0000
Lu 0.0000 0.0000 0.5000
Lu 0.5000 0.5000 0.5000
Lu 0.5000 0.0000 0.0000
Ga 0.2500 0.7500 0.5000
Ga 0.2500 0.5000 0.7500
Ga 0.5000 0.2500 0.7500
Ga 0.7500 0.5000 0.2500
Ga 0.7500 0.2500 0.5000
Ga 0.5000 0.7500 0.2500
Ga 0.2969 0.2969 0.0000
Ga 0.7031 0.0000 0.7031
Ga 0.0000 0.2969 0.2969
Ga 0.7031 0.7031 0.0000
Ga 0.2969 0.0000 0.2969
Ga 0.0000 0.7031 0.7031
Pd 0.0000 0.0000 0.0000

Magnetization ... 0.000 μB/atom
Space-group type ... No. 229
Calculated total energy ... -75.90 eV per formula unit

(6)
Entry from Alexandria via LeMat-Bulk: an optimized crystal structure of LaZnCo (GGA-PBEsol).

Unit cell a=4.5039 b=4.5039 c=4.5039 alpha=60.00 beta=60.00 gamma=60.00
Sites, in units of the cell vectors:
Co 0.0000 0.0000 0.0000
La 0.5000 0.5000 0.5000
Zn 0.2500 0.2500 0.2500

Magnetization ... 0.133 μB/atom
Space-group type ... No. 216
Calculated total energy ... -13.52 eV per formula unit

(7)
Entry from Alexandria via LeMat-Bulk: an optimized crystal structure of MnCrOs2 (GGA-PBEsol).

Unit cell a=2.6045 b=2.6045 c=8.3906 alpha=90.00 beta=90.00 gamma=114.77
Sites, in units of the cell vectors:
Cr 0.0000 0.0000 0.4867
Mn 0.5000 0.5000 0.2643
Os 0.0000 0.0000 0.0154
Os 0.5000 0.5000 0.7336

Magnetization ... 0.283 μB/atom
Space-group type ... No. 35
Calculated total energy ... -42.67 eV per formula unit

(8)
Entry from Alexandria via LeMat-Bulk: an optimized crystal structure of CsMg3Sb (GGA-PBEsol).

Unit cell a=5.7916 b=5.7916 c=5.7916 alpha=90.00 beta=90.00 gamma=90.00
Sites, in units of the cell vectors:
Cs 0.5000 0.5000 0.5000
Sb 0.0000 0.0000 0.0000
Mg 0.0000 0.5000 0.0000
Mg 0.0000 0.0000 0.5000
Mg 0.5000 0.0000 0.0000

Magnetization ... 0.000 μB/atom
Formation energy from raw total energies ... 226 meV per atom
Space-group type ... No. 221

(9)
Entry from Alexandria via LeMat-Bulk: an optimized crystal structure of HgPtRh (GGA-PBEsol).

Unit cell a=4.3206 b=4.3206 c=4.3206 alpha=60.00 beta=60.00 gamma=60.00
Sites, in units of the cell vectors:
Hg 0.2500 0.2500 0.2500
Pt 0.0000 0.0000 0.0000
Rh 0.5000 0.5000 0.5000

Magnetization ... 0.004 μB/atom
Space-group type ... No. 216
Calculated total energy ... -13.44 eV per formula unit

(10)
Entry from Alexandria via LeMat-Bulk: an optimized crystal structure of Ag2IBr (GGA-PBEsol).

Unit cell a=6.2739 b=6.2739 c=7.7032 alpha=114.03 beta=114.03 gamma=90.00
Sites, in units of the cell vectors:
I 0.2500 0.7500 0.5000
I 0.0000 0.0000 0.0000
Ag 0.3880 0.8750 0.2500
Ag 0.8620 0.3750 0.2500
Ag 0.1250 0.1380 0.7500
Ag 0.6250 0.6120 0.7500
Br 0.7500 0.2500 0.5000
Br 0.5000 0.5000 0.0000

Magnetization ... 0.000 μB/atom
Formation energy from raw total energies ... -220 meV per atom
Space-group type ... No. 122

(11)
Entry from Alexandria via LeMat-Bulk: an optimized crystal structure of RbCu2N (GGA-PBEsol).

Unit cell a=5.9790 b=5.9790 c=5.9790 alpha=60.00 beta=60.00 gamma=60.00
Sites, in units of the cell vectors:
Cu 0.6250 0.6250 0.1250
Cu 0.6250 0.6250 0.6250
Cu 0.1250 0.6250 0.6250
Cu 0.6250 0.1250 0.6250
Rb 0.2500 0.2500 0.2500
Rb 0.0000 0.0000 0.0000
N 0.7500 0.7500 0.7500
N 0.5000 0.5000 0.5000

Magnetization ... 0.000 μB/atom
Formation energy from raw total energies ... 5 meV per atom
Space-group type ... No. 227

(12)
Entry from Alexandria via LeMat-Bulk: an optimized crystal structure of Zn2TcCl (GGA-PBEsol).

Unit cell a=2.8689 b=2.8689 c=7.6674 alpha=90.00 beta=90.00 gamma=90.00
Sites, in units of the cell vectors:
Zn 0.0000 0.0000 0.9796
Zn 0.5000 0.5000 0.2055
Tc 0.5000 0.5000 0.7498
Cl 0.0000 0.0000 0.5651

Magnetization ... 0.000 μB/atom
Formation energy from raw total energies ... 262 meV per atom
Space-group type ... No. 99

(13)
Entry from Alexandria via LeMat-Bulk: an optimized crystal structure of MgHgAs2H (GGA-PBEsol).

Unit cell a=4.9101 b=4.9101 c=5.4637 alpha=90.00 beta=90.00 gamma=90.00
Sites, in units of the cell vectors:
Mg 0.0000 0.0000 0.0000
H 0.5000 0.5000 0.5000
As 0.0000 0.5000 0.0000
As 0.5000 0.0000 0.0000
Hg 0.0000 0.0000 0.5000

Magnetization ... 0.167 μB/atom
Space-group type ... No. 123
Calculated total energy ... -10.76 eV per formula unit

(14)
Entry from Alexandria via LeMat-Bulk: an optimized crystal structure of SrZnRu2 (GGA-PBEsol).

Unit cell a=4.5791 b=4.5791 c=4.5791 alpha=60.00 beta=60.00 gamma=60.00
Sites, in units of the cell vectors:
Ru 0.0000 0.0000 0.0000
Ru 0.2500 0.2500 0.2500
Sr 0.5000 0.5000 0.5000
Zn 0.7500 0.7500 0.7500

Magnetization ... 0.000 μB/atom
Space-group type ... No. 216
Calculated total energy ... -21.20 eV per formula unit

(15)
Entry from Alexandria via LeMat-Bulk: an optimized crystal structure of BeReOs2 (GGA-PBEsol).

Unit cell a=2.7913 b=2.7913 c=6.4298 alpha=90.00 beta=90.00 gamma=90.00
Sites, in units of the cell vectors:
Re 0.5000 0.5000 0.0000
Os 0.0000 0.0000 0.7171
Os 0.0000 0.0000 0.2829
Be 0.5000 0.5000 0.5000

Magnetization ... 0.000 μB/atom
Space-group type ... No. 123
Calculated total energy ... -42.07 eV per formula unit

(16)
Entry from Alexandria via LeMat-Bulk: an optimized crystal structure of Ca2YAg (GGA-PBEsol).

Unit cell a=4.6110 b=4.6110 c=6.2494 alpha=111.65 beta=111.65 gamma=90.00
Sites, in units of the cell vectors:
Y 0.5000 0.5000 0.0000
Ca 0.7500 0.2500 0.5000
Ca 0.2500 0.7500 0.5000
Ag 0.0000 0.0000 0.0000

Magnetization ... 0.000 μB/atom
Space-group type ... No. 139
Calculated total energy ... -14.03 eV per formula unit

(17)
Entry from Alexandria via LeMat-Bulk: an optimized crystal structure of CuReTc2 (GGA-PBEsol).

Unit cell a=3.1015 b=3.1015 c=5.6314 alpha=90.00 beta=90.00 gamma=90.00
Sites, in units of the cell vectors:
Cu 0.0000 0.0000 0.4989
Re 0.5000 0.5000 0.7303
Tc 0.0000 0.0000 0.9973
Tc 0.5000 0.5000 0.2735

Magnetization ... 0.000 μB/atom
Space-group type ... No. 99
Calculated total energy ... -38.94 eV per formula unit

(18)
Entry from Alexandria via LeMat-Bulk: an optimized crystal structure of Ga3BPt (GGA-PBEsol).

Unit cell a=4.2155 b=4.2155 c=4.2155 alpha=90.00 beta=90.00 gamma=90.00
Sites, in units of the cell vectors:
B 0.0000 0.0000 0.0000
Ga 0.0000 0.5000 0.0000
Ga 0.0000 0.0000 0.5000
Ga 0.5000 0.0000 0.0000
Pt 0.5000 0.5000 0.5000

Magnetization ... 0.000 μB/atom
Space-group type ... No. 221
Calculated total energy ... -22.32 eV per formula unit

(19)
Entry from Alexandria via LeMat-Bulk: an optimized crystal structure of Cs3CrB (GGA-PBEsol).

Unit cell a=6.8440 b=6.8440 c=6.8440 alpha=90.00 beta=90.00 gamma=90.00
Sites, in units of the cell vectors:
Cs 0.0000 0.5000 0.0000
Cs 0.0000 0.0000 0.5000
Cs 0.5000 0.0000 0.0000
Cr 0.0000 0.0000 0.0000
B 0.5000 0.5000 0.5000

Magnetization ... 1.607 μB/atom
Space-group type ... No. 221
Calculated total energy ... -11.61 eV per formula unit

(20)
Entry from Alexandria via LeMat-Bulk: an optimized crystal structure of YPW (GGA-PBEsol).

Unit cell a=4.5609 b=4.5609 c=4.5609 alpha=60.00 beta=60.00 gamma=60.00
Sites, in units of the cell vectors:
P 0.0000 0.0000 0.0000
W 0.5000 0.5000 0.5000
Y 0.2500 0.2500 0.2500

Magnetization ... 0.815 μB/atom
Space-group type ... No. 216
Calculated total energy ... -22.41 eV per formula unit

(21)
Entry from Alexandria via LeMat-Bulk: an optimized crystal structure of LaCoCu2 (GGA-PBEsol).

Unit cell a=3.7982 b=4.3981 c=4.7932 alpha=117.31 beta=113.34 gamma=90.00
Sites, in units of the cell vectors:
Co 0.2620 0.7620 0.5240
Cu 0.9898 0.9898 0.9796
Cu 0.7383 0.2383 0.4765
La 0.5099 0.5099 0.0198

Magnetization ... 0.000 μB/atom
Space-group type ... No. 44
Calculated total energy ... -20.81 eV per formula unit

(22)
Entry from Alexandria via LeMat-Bulk: an optimized crystal structure of Ca2LaSc (GGA-PBEsol).

Unit cell a=5.7441 b=5.7441 c=5.7441 alpha=60.00 beta=60.00 gamma=60.00
Sites, in units of the cell vectors:
Sc 0.2500 0.2500 0.2500
Ca 0.0000 0.0000 0.0000
Ca 0.7500 0.7500 0.7500
La 0.5000 0.5000 0.5000

Magnetization ... 0.000 μB/atom
Space-group type ... No. 216
Calculated total energy ... -15.44 eV per formula unit

(23)
Entry from Alexandria via LeMat-Bulk: an optimized crystal structure of BaAl2Te (GGA-PBEsol).

Unit cell a=3.8932 b=3.8932 c=9.4203 alpha=78.07 beta=78.07 gamma=60.00
Sites, in units of the cell vectors:
Te 0.0000 0.0000 0.0000
Ba 0.5000 0.5000 0.5000
Al 0.2666 0.2666 0.2001
Al 0.7334 0.7334 0.7999

Magnetization ... 0.001 μB/atom
Formation energy from raw total energies ... 39 meV per atom
Space-group type ... No. 166

(24)
Entry from Alexandria via LeMat-Bulk: an optimized crystal structure of Sr2MgZn (GGA-PBEsol).

Unit cell a=4.7191 b=4.7191 c=8.1118 alpha=73.09 beta=73.09 gamma=60.00
Sites, in units of the cell vectors:
Sr 0.9667 0.9667 0.0998
Sr 0.7834 0.7834 0.6499
Zn 0.5418 0.5418 0.3747
Mg 0.2082 0.2082 0.3755

Magnetization ... 0.000 μB/atom
Space-group type ... No. 160
Calculated total energy ... -7.12 eV per formula unit

(25)
Entry from Alexandria via LeMat-Bulk: an optimized crystal structure of AlTlHg2 (GGA-PBEsol).

Unit cell a=3.3619 b=3.3619 c=8.1117 alpha=90.00 beta=90.00 gamma=90.00
Sites, in units of the cell vectors:
Tl 0.0000 0.0000 0.5130
Hg 0.0000 0.0000 0.9768
Hg 0.5000 0.5000 0.2328
Al 0.5000 0.5000 0.7774

Magnetization ... 0.000 μB/atom
Space-group type ... No. 99
Calculated total energy ... -7.42 eV per formula unit

(26)
Entry from Alexandria via LeMat-Bulk: an optimized crystal structure of LaTi2Tl2 (GGA-PBEsol).

Unit cell a=4.2654 b=4.2654 c=7.2704 alpha=107.06 beta=107.06 gamma=90.00
Sites, in units of the cell vectors:
Tl 0.3903 0.3903 0.7805
Tl 0.6097 0.6097 0.2195
Ti 0.2500 0.7500 0.5000
Ti 0.7500 0.2500 0.5000
La 0.0000 0.0000 0.0000

Magnetization ... 0.428 μB/atom
Space-group type ... No. 139
Calculated total energy ... -27.44 eV per formula unit

(27)
Entry from Alexandria via LeMat-Bulk: an optimized crystal structure of TiSeO2 (GGA-PBEsol).

Unit cell a=3.6353 b=3.6353 c=5.5990 alpha=71.06 beta=71.06 gamma=60.00
Sites, in units of the cell vectors:
O 0.8793 0.8793 0.3621
O 0.1207 0.1207 0.6379
Se 0.5000 0.5000 0.5000
Ti 0.0000 0.0000 0.0000

Magnetization ... 0.242 μB/atom
Formation energy from raw total energies ... -431 meV per atom
Space-group type ... No. 166

(28)
Entry from Alexandria via LeMat-Bulk: an optimized crystal structure of SrCaAl4 (GGA-PBEsol).

Unit cell a=5.7111 b=5.7111 c=5.7111 alpha=60.00 beta=60.00 gamma=60.00
Sites, in units of the cell vectors:
Sr 0.0000 0.0000 0.0000
Ca 0.7500 0.7500 0.7500
Al 0.3751 0.3751 0.3751
Al 0.3751 0.3751 0.8746
Al 0.8746 0.3751 0.3751
Al 0.3751 0.8746 0.3751

Magnetization ... 0.000 μB/atom
Space-group type ... No. 216
Calculated total energy ... -22.11 eV per formula unit

(29)
Entry from Alexandria via LeMat-Bulk: an optimized crystal structure of Mn5Ru (GGA-PBEsol).

Unit cell a=2.5170 b=3.9908 c=6.5898 alpha=90.00 beta=101.01 gamma=90.00
Sites, in units of the cell vectors:
Mn 0.0053 0.0000 0.0107
Mn 0.6674 0.0000 0.3349
Mn 0.3294 0.0000 0.6588
Mn 0.5590 0.5000 0.1181
Mn 0.2171 0.5000 0.4341
Ru 0.8884 0.5000 0.7768

Magnetization ... 0.000 μB/atom
Space-group type ... No. 38
Calculated total energy ... -58.64 eV per formula unit